## PrAgW2O8 (GGA+U)

Data for a relaxed structure of PrAgW2O8.

Computed properties:
* theoretical density: 7.261 g cm⁻³
* VASP energy: -0.267 hartree per atom

Unit cell a=7.628 b=7.628 c=7.447 alpha=114.73 beta=114.73 gamma=94.39
Sites, in units of the cell vectors:
Pr: 0.201 0.799 0.000
Pr: 0.799 0.201 0.000
Ag: 0.194 0.194 0.519
Ag: 0.806 0.806 0.481
W: 0.285 0.285 0.026
W: 0.341 0.659 0.500
W: 0.659 0.341 0.500
W: 0.715 0.715 0.974
O: 0.056 0.056 0.856
O: 0.154 0.398 0.240
O: 0.191 0.707 0.640
O: 0.198 0.448 0.907
O: 0.293 0.809 0.360
O: 0.398 0.154 0.240
O: 0.448 0.198 0.907
O: 0.481 0.481 0.660
O: 0.519 0.519 0.340
O: 0.552 0.802 0.093
O: 0.602 0.846 0.760
O: 0.707 0.191 0.640
O: 0.802 0.552 0.093
O: 0.809 0.293 0.360
O: 0.846 0.602 0.760
O: 0.944 0.944 0.144